AcHo2CrO8: relaxed, PBE with a Hubbard U.

```
AcHo2CrO8
1.0
5.074 0.000 0.000
-2.537 4.394 0.000
0.000 0.000 6.949
Ac Ho Cr O
1 2 1 8
Direct
0.000 0.000 0.000
0.333 0.667 0.368
0.667 0.333 0.632
0.000 0.000 0.500
0.167 0.333 0.655
0.167 0.833 0.655
0.333 0.167 0.345
0.333 0.667 0.067
0.667 0.333 0.933
0.667 0.833 0.655
0.833 0.167 0.345
0.833 0.667 0.345
```

Results
The total energy comes out at -7.2629 eV per atom.